# 1
DFT (PBE) results for crystalline Li3Pr2AgSn4 at its relaxed geometry.

Calculated values
The space-group type is No. 115. For the formation energy, the calculation gives -510.9 meV/atom. The value obtained for the electronic total energy is -3.9272 eV/atom.

The structure in extended XYZ format:
```
10
Lattice="4.533 0.000 0.000 0.000 4.533 0.000 0.000 0.000 11.233" Properties=species:S:1:pos:R:3 pbc="T T T"
Li 0.000 0.000 0.000
Li 0.000 2.267 7.101
Li 2.267 0.000 4.131
Pr 0.000 2.267 2.846
Pr 2.267 0.000 8.387
Ag 2.267 2.267 0.000
Sn 0.000 0.000 5.616
Sn 0.000 2.267 9.658
Sn 2.267 0.000 1.575
Sn 2.267 2.267 5.616
```

# 2
DFT (PBE) results for crystalline LiPr2ZnAg6 at its relaxed geometry.

Calculated values
The space-group type is No. 2. For the formation energy, the calculation gives -53.8 meV/atom. The value obtained for the electronic total energy is -3.0392 eV/atom.

The structure in extended XYZ format:
```
10
Lattice="6.519 0.000 0.000 -3.257 5.651 0.000 -3.238 -1.890 6.019" Properties=species:S:1:pos:R:3 pbc="T T T"
Li 0.000 0.000 0.000
Pr 0.024 -0.009 3.976
Pr -0.001 3.771 2.043
Zn -3.248 1.881 3.010
Ag -3.227 0.221 4.973
Ag -4.663 2.704 4.992
Ag 1.819 1.060 1.055
Ag -1.795 2.702 4.964
Ag 4.686 1.058 1.027
Ag 3.251 3.541 1.046
```

# 3
DFT (PBE) results for crystalline LiPrZn2Ag4 at its relaxed geometry.

Calculated values
The space-group type is No. 166. For the formation energy, the calculation gives -188.2 meV/atom. The value obtained for the electronic total energy is -2.7690 eV/atom.

The structure in extended XYZ format:
```
8
Lattice="2.295 1.325 8.400 -2.295 1.325 8.400 0.000 -2.650 8.400" Properties=species:S:1:pos:R:3 pbc="T T T"
Li 0.000 0.000 0.000
Pr 0.000 0.000 12.600
Zn 0.000 0.000 6.429
Zn 0.000 0.000 18.770
Ag 0.000 0.000 2.510
Ag 0.000 0.000 9.293
Ag 0.000 0.000 15.906
Ag 0.000 0.000 22.689
```

# 4
DFT (PBE) results for crystalline LiPrZnAg at its relaxed geometry.

Calculated values
The space-group type is No. 8. The excess energy over the best structure of this formula in the dataset comes out at 0.000 eV per atom. For the formation energy, the calculation gives -219.1 meV/atom. The value obtained for the electronic total energy is -2.9237 eV/atom.

The structure in extended XYZ format:
```
4
Lattice="3.986 -2.318 0.000 3.986 2.318 0.000 -2.670 0.000 4.805" Properties=species:S:1:pos:R:3 pbc="T T T"
Li 0.000 0.000 0.000
Pr 2.650 0.000 2.349
Zn -0.015 0.000 4.079
Ag 5.311 0.000 0.565
```

# 5
DFT (PBE) results for crystalline LiPrZnAg at its relaxed geometry.

Calculated values
The space-group type is No. 216. The excess energy over the best structure of this formula in the dataset comes out at 0.016 eV per atom. For the formation energy, the calculation gives -203.5 meV/atom. The value obtained for the electronic total energy is -2.9081 eV/atom.

The structure in extended XYZ format:
```
4
Lattice="0.000 3.538 3.538 3.538 0.000 3.538 3.538 3.538 0.000" Properties=species:S:1:pos:R:3 pbc="T T T"
Li 0.000 0.000 0.000
Pr 3.538 3.538 3.538
Zn 1.769 1.769 1.769
Ag 5.307 5.307 5.307
```

# 6
DFT (PBE) results for crystalline LiAg2Pt at its relaxed geometry.

Calculated values
The space-group type is No. 12. For the formation energy, the calculation gives -168.5 meV/atom. The value obtained for the electronic total energy is -3.5828 eV/atom.

The structure in extended XYZ format:
```
4
Lattice="2.757 -4.694 0.000 2.757 4.694 0.000 -1.227 0.000 2.531" Properties=species:S:1:pos:R:3 pbc="T T T"
Li 0.000 0.000 0.000
Ag 0.765 2.347 1.265
Ag 0.765 -2.347 1.265
Pt 2.757 0.000 0.000
```

Number 1: M_tot 0.00 μB/f.u.. Number 2: M_tot 0.00 μB/f.u.. Number 3: M_tot 0.00 μB/f.u.. Number 4: M_tot 0.00 μB/f.u.. Number 5: M_tot 0.00 μB/f.u.. Number 6: M_tot 0.00 μB/f.u..